Record 1
Li2LaPb at its PBEsol-relaxed geometry. Source: the Alexandria database, functional SCAN.

abc: 3.691 3.691 7.054
angles: 90.00 90.00 90.00
Fractional positions:
Li: 0.000 0.000 0.202
Li: 0.000 0.000 0.798
La: 0.500 0.500 0.500
Pb: 0.500 0.500 0.000

Values from the calculation:
E_tot ... -31.17 eV/atom
Density ... 6.2 g/cm3
Total moment ... 0.45 μB/f.u.
Symmetry ... P4/mmm, No. 123


Record 2
LiLa2Pb at its PBEsol-relaxed geometry. Source: the Alexandria database, functional SCAN.

abc: 6.836 7.173 4.643
angles: 90.00 90.00 90.00
Fractional positions:
Li: 0.000 0.000 0.000
Li: 0.500 0.500 0.000
La: 0.250 0.250 0.500
La: 0.250 0.750 0.500
La: 0.750 0.250 0.500
La: 0.750 0.750 0.500
Pb: 0.000 0.500 0.000
Pb: 0.500 0.000 0.000

Values from the calculation:
E_tot ... -41.61 eV/atom
Density ... 7.2 g/cm3
Total moment ... 0.46 μB/f.u.
Symmetry ... Cmmm, No. 65


Record 3
LiLa2Pb2 at its PBEsol-relaxed geometry. Source: the Alexandria database, functional SCAN.

abc: 7.937 7.937 4.782
angles: 90.00 90.00 90.00
Fractional positions:
Li: 0.000 0.000 0.000
Li: 0.500 0.500 0.000
La: 0.172 0.328 0.500
La: 0.328 0.828 0.500
La: 0.672 0.172 0.500
La: 0.828 0.672 0.500
Pb: 0.135 0.635 0.000
Pb: 0.365 0.135 0.000
Pb: 0.635 0.865 0.000
Pb: 0.865 0.365 0.000

Values from the calculation:
E_tot ... -48.78 eV/atom
Density ... 7.7 g/cm3
Total moment ... 0.21 μB/f.u.
Symmetry ... P4/mbm, No. 127


Record 4
LiLa2Pd2 at its PBEsol-relaxed geometry. Source: the Alexandria database, functional SCAN.

abc: 7.751 7.751 3.958
angles: 90.00 90.00 90.00
Fractional positions:
Li: 0.000 0.000 0.000
Li: 0.500 0.500 0.000
La: 0.168 0.332 0.500
La: 0.332 0.832 0.500
La: 0.668 0.168 0.500
La: 0.832 0.668 0.500
Pd: 0.132 0.632 0.000
Pd: 0.368 0.132 0.000
Pd: 0.632 0.868 0.000
Pd: 0.868 0.368 0.000

Values from the calculation:
E_tot ... -31.54 eV/atom
Density ... 6.9 g/cm3
Total moment ... 0.01 μB/f.u.
Symmetry ... P4/mbm, No. 127


Record 5
Li2LaPt at its PBEsol-relaxed geometry. Source: the Alexandria database, functional SCAN.

abc: 4.125 4.125 8.923
angles: 90.00 90.00 90.00
Fractional positions:
Li: 0.000 0.500 0.250
Li: 0.000 0.500 0.750
Li: 0.500 0.000 0.250
Li: 0.500 0.000 0.750
La: 0.000 0.000 0.000
La: 0.500 0.500 0.500
Pt: 0.000 0.000 0.500
Pt: 0.500 0.500 0.000

Values from the calculation:
E_tot ... -30.16 eV/atom
Density ... 7.6 g/cm3
Total moment ... 0.01 μB/f.u.
Symmetry ... I4/mmm, No. 139


Record 6
Li2LaPt at its PBEsol-relaxed geometry. Source: the Alexandria database, functional SCAN.

abc: 4.042 4.042 5.118
angles: 90.00 90.00 90.00
Fractional positions:
Li: 0.000 0.500 0.000
Li: 0.500 0.000 0.000
La: 0.000 0.000 0.500
Pt: 0.500 0.500 0.500

Values from the calculation:
E_tot ... -30.11 eV/atom
Density ... 6.9 g/cm3
Total moment ... 0.00 μB/f.u.
Symmetry ... P4/mmm, No. 123


Record 7
Li2LaPt at its PBEsol-relaxed geometry. Source: the Alexandria database, functional SCAN.

abc: 5.501 8.424 3.197
angles: 90.00 90.00 90.00
Fractional positions:
Li: 0.250 0.250 0.000
Li: 0.250 0.750 0.000
Li: 0.750 0.250 0.000
Li: 0.750 0.750 0.000
La: 0.000 0.000 0.500
La: 0.500 0.500 0.500
Pt: 0.000 0.500 0.500
Pt: 0.500 0.000 0.500

Values from the calculation:
E_tot ... -29.74 eV/atom
Density ... 7.8 g/cm3
Total moment ... 0.00 μB/f.u.
Symmetry ... Cmmm, No. 65


Record 8
Li2LaPt at its PBEsol-relaxed geometry. Source: the Alexandria database, functional SCAN.

abc: 5.606 5.964 5.129
angles: 90.00 90.00 90.00
Fractional positions:
Li: 0.000 0.192 0.000
Li: 0.000 0.808 0.000
Li: 0.500 0.308 0.000
Li: 0.500 0.692 0.000
La: 0.000 0.500 0.500
La: 0.500 0.000 0.500
Pt: 0.000 0.000 0.500
Pt: 0.500 0.500 0.500

Values from the calculation:
E_tot ... -30.13 eV/atom
Density ... 6.7 g/cm3
Total moment ... 0.02 μB/f.u.
Symmetry ... Cmmm, No. 65


Record 9
Li2LaPt2 at its PBEsol-relaxed geometry. Source: the Alexandria database, functional SCAN.

abc: 3.830 3.830 12.731
angles: 90.00 90.00 90.00
Fractional positions:
Li: 0.000 0.500 0.250
Li: 0.000 0.500 0.750
Li: 0.500 0.000 0.250
Li: 0.500 0.000 0.750
La: 0.000 0.000 0.000
La: 0.500 0.500 0.500
Pt: 0.000 0.000 0.392
Pt: 0.000 0.000 0.608
Pt: 0.500 0.500 0.108
Pt: 0.500 0.500 0.892

Values from the calculation:
E_tot ... -38.55 eV/atom
Density ... 9.7 g/cm3
Total moment ... 0.00 μB/f.u.
Symmetry ... I4/mmm, No. 139


Record 10
Li2LaPt at its PBEsol-relaxed geometry. Source: the Alexandria database, functional SCAN.

abc: 4.071 4.071 20.590
angles: 90.00 90.00 90.00
Fractional positions:
Li: 0.172 0.750 0.125
Li: 0.250 0.172 0.875
Li: 0.250 0.328 0.375
Li: 0.328 0.750 0.625
Li: 0.672 0.250 0.625
Li: 0.750 0.672 0.375
Li: 0.750 0.828 0.875
Li: 0.828 0.250 0.125
La: 0.000 0.000 0.500
La: 0.000 0.500 0.750
La: 0.500 0.000 0.250
La: 0.500 0.500 0.000
Pt: 0.000 0.000 0.000
Pt: 0.000 0.500 0.250
Pt: 0.500 0.000 0.750
Pt: 0.500 0.500 0.500

Values from the calculation:
E_tot ... -30.09 eV/atom
Density ... 6.8 g/cm3
Total moment ... 0.00 μB/f.u.
Symmetry ... I-42d, No. 122


Record 11
Li2LaPt at its PBEsol-relaxed geometry. Source: the Alexandria database, functional SCAN.

abc: 4.426 4.426 14.308
angles: 90.00 90.00 120.00
Fractional positions:
Li: 0.000 0.000 0.000
Li: 0.000 0.000 0.284
Li: 0.333 0.667 0.667
Li: 0.333 0.667 0.950
Li: 0.667 0.333 0.333
Li: 0.667 0.333 0.617
La: 0.000 0.000 0.482
La: 0.333 0.667 0.149
La: 0.667 0.333 0.816
Pt: 0.000 0.000 0.696
Pt: 0.333 0.667 0.363
Pt: 0.667 0.333 0.030

Values from the calculation:
E_tot ... -30.15 eV/atom
Density ... 7.1 g/cm3
Total moment ... 0.00 μB/f.u.
Symmetry ... R3m, No. 160


Record 12
Li4LaPt at its PBEsol-relaxed geometry. Source: the Alexandria database, functional SCAN.

abc: 5.240 5.240 5.240
angles: 60.00 60.00 60.00
Fractional positions:
Li: 0.121 0.121 0.121
Li: 0.121 0.121 0.636
Li: 0.121 0.636 0.121
Li: 0.636 0.121 0.121
La: 0.500 0.500 0.500
Pt: 0.750 0.750 0.750

Values from the calculation:
E_tot ... -20.74 eV/atom
Density ... 5.9 g/cm3
Total moment ... 0.00 μB/f.u.
Symmetry ... F-43m, No. 216


> density of number 4 (LiLa2Pd2)?

6.9 g/cm3